Here is an optimized crystal structure of ZnWIO2 from the Alexandria database. Energies are from GGA+U.

**Crystal system**: tetragonal
**Relative energy among the computed polymorphs**: 0.000 eV per atom

Geometry as POSCAR:
```
ZnWIO2
1.0
-2.3665 3.1495 0.2962
-1.9272 -1.7288 2.9840
4.7909 3.1380 4.9121
Zn O I W
1 2 1 1
Direct
0.5000 0.5000 0.5000
0.5000 0.0000 0.0000
0.0000 0.5000 0.0000
0.0000 0.0000 0.5000
0.0000 0.0000 0.0000
```